Record 1
5
Lattice="5.1374 0.0000 0.0000 0.0000 5.1374 0.0000 0.0000 0.0000 5.1374" Properties=species:S:1:pos:R:3 comment="Ca3YO (PBE, relaxed)" vol_a3_per_atom=27.1 e_above_lowest_polymorph_mev_per_atom=0 m_tot_mub_per_fu=0.00 dos_at_fermi_per_ev_fu=6.5 pbc="T T T"
Ca 0.0000 0.0000 2.5687
Ca 0.0000 2.5687 0.0000
Ca 2.5687 0.0000 0.0000
Y 2.5687 2.5687 2.5687
O 0.0000 0.0000 0.0000

Record 2
3
Lattice="3.4932 0.0000 0.0000 -1.7466 3.0252 0.0000 0.0000 0.0000 6.0083" Properties=species:S:1:pos:R:3 comment="CaYO (PBE, relaxed)" vol_a3_per_atom=21.2 e_above_lowest_polymorph_mev_per_atom=103 m_tot_mub_per_fu=1.06 dos_at_fermi_per_ev_fu=1.2 pbc="T T T"
Ca 0.0000 0.0000 0.0000
Y 1.7466 1.0084 3.1879
O 0.0000 2.0168 4.6119

Record 3
5
Lattice="4.1335 0.0000 0.0000 0.0000 4.1335 0.0000 0.0000 0.0000 4.1335" Properties=species:S:1:pos:R:3 comment="CaYO3 (PBE, relaxed)" vol_a3_per_atom=14.1 m_tot_mub_per_fu=1.00 dos_at_fermi_per_ev_fu=1.5 e_tot_ev_per_cell=-32.70 pbc="T T T"
Ca 0.0000 0.0000 0.0000
Y 2.0668 2.0668 2.0668
O 0.0000 0.0000 2.0668
O 0.0000 2.0668 0.0000
O 2.0668 0.0000 0.0000

Record 4
5
Lattice="6.1525 0.0000 0.0000 0.0000 6.1525 0.0000 0.0000 0.0000 6.1525" Properties=species:S:1:pos:R:3 comment="Ca3YO (PBE, relaxed)" vol_a3_per_atom=46.6 e_above_lowest_polymorph_mev_per_atom=2016 m_tot_mub_per_fu=5.03 dos_at_fermi_per_ev_fu=7.1 pbc="T T T"
Ca 0.0000 0.0000 3.0762
Ca 0.0000 3.0762 0.0000
Ca 3.0762 0.0000 0.0000
Y 0.0000 0.0000 0.0000
O 3.0762 3.0762 3.0762

Record 5
6
Lattice="3.3947 -1.8882 0.0000 3.3947 1.8882 0.0000 -0.6453 0.0000 6.6184" Properties=species:S:1:pos:R:3 comment="CaYO4 (PBE, relaxed)" vol_a3_per_atom=14.1 m_tot_mub_per_fu=1.01 dos_at_fermi_per_ev_fu=2.1 e_tot_ev_per_cell=-42.62 pbc="T T T"
Ca 0.0000 0.0000 0.0000
Y 3.9187 0.0000 3.8870
O 1.3421 0.0000 2.2362
O 2.5874 0.0000 1.6819
O 3.9229 0.0000 6.0669
O 6.1363 0.0000 4.1347

Record 6
5
Lattice="5.0049 0.0000 0.0000 0.0000 5.0049 0.0000 0.0000 0.0000 5.0049" Properties=species:S:1:pos:R:3 comment="CaY3O (PBE, relaxed)" vol_a3_per_atom=25.1 e_above_lowest_polymorph_mev_per_atom=0 m_tot_mub_per_fu=0.00 dos_at_fermi_per_ev_fu=7.0 pbc="T T T"
Ca 0.0000 0.0000 0.0000
Y 0.0000 2.5025 2.5025
Y 2.5025 0.0000 2.5025
Y 2.5025 2.5025 0.0000
O 2.5025 2.5025 2.5025

Record 7
5
Lattice="5.5543 0.0000 0.0000 0.0000 5.5543 0.0000 0.0000 0.0000 5.5543" Properties=species:S:1:pos:R:3 comment="CaY3O (PBE, relaxed)" vol_a3_per_atom=34.3 e_above_lowest_polymorph_mev_per_atom=2367 m_tot_mub_per_fu=0.00 dos_at_fermi_per_ev_fu=7.5 pbc="T T T"
Ca 0.0000 0.0000 0.0000
Y 0.0000 0.0000 2.7772
Y 0.0000 2.7772 0.0000
Y 2.7772 0.0000 0.0000
O 2.7772 2.7772 2.7772

Record 8
12
Lattice="13.1873 0.0000 0.0000 0.0000 3.9029 0.0000 0.0000 0.0000 6.3577" Properties=species:S:1:pos:R:3 comment="CaYO (PBE, relaxed)" vol_a3_per_atom=27.3 e_above_lowest_polymorph_mev_per_atom=0 m_tot_mub_per_fu=0.00 dos_at_fermi_per_ev_fu=2.5 pbc="T T T"
Ca 2.6546 0.9757 1.4458
Ca 3.9390 2.9272 4.6247
Ca 9.2483 0.9757 1.7330
Ca 10.5327 2.9272 4.9118
Y 0.4147 0.9757 4.5505
Y 6.1790 2.9272 1.3717
Y 7.0083 0.9757 4.9860
Y 12.7726 2.9272 1.8071
O 0.5407 0.9757 2.3091
O 6.0529 2.9272 5.4880
O 7.1344 0.9757 0.8697
O 12.6466 2.9272 4.0485

Record 9
8
Lattice="-3.5598 3.5598 5.0323 3.5598 -3.5598 5.0323 3.5598 3.5598 -5.0323" Properties=species:S:1:pos:R:3 comment="Ca2YO (PBE, relaxed)" vol_a3_per_atom=31.9 m_tot_mub_per_fu=1.23 dos_at_fermi_per_ev_fu=4.9 e_tot_ev_per_cell=-39.80 pbc="T T T"
Ca 0.0066 1.7799 1.2581
Ca -1.7799 3.5532 3.7742
Ca -0.0066 5.3397 1.2581
Ca 1.7799 3.5664 3.7742
Y 3.5598 0.0000 2.5161
Y 0.0000 0.0000 5.0323
O 0.0000 0.0000 0.0000
O 0.0000 3.5598 2.5161

Record 10
5
Lattice="4.2888 0.0000 0.0000 0.0000 4.2888 0.0000 0.0000 0.0000 4.2888" Properties=species:S:1:pos:R:3 comment="CaYO3 (PBE, relaxed)" vol_a3_per_atom=15.8 m_tot_mub_per_fu=1.00 dos_at_fermi_per_ev_fu=2.7 e_tot_ev_per_cell=-35.35 pbc="T T T"
Ca 0.0000 0.0000 0.0000
Y 2.1444 2.1444 2.1444
O 0.0000 2.1444 2.1444
O 2.1444 0.0000 2.1444
O 2.1444 2.1444 0.0000

Record 11
4
Lattice="1.7412 1.0053 9.5444 -1.7412 1.0053 9.5444 0.0000 -2.0105 9.5444" Properties=species:S:1:pos:R:3 comment="Ca2YO (PBE, relaxed)" vol_a3_per_atom=25.1 m_tot_mub_per_fu=0.87 dos_at_fermi_per_ev_fu=3.1 e_tot_ev_per_cell=-20.32 pbc="T T T"
Ca 0.0000 0.0000 3.3719
Ca 0.0000 0.0000 25.2613
Y 0.0000 0.0000 0.0000
O 0.0000 0.0000 14.3166

Record 12
5
Lattice="4.7741 0.0000 0.0000 0.0000 4.7741 0.0000 0.0000 0.0000 4.7385" Properties=species:S:1:pos:R:3 comment="CaY2ZnO (PBE, relaxed)" vol_a3_per_atom=21.6 m_tot_mub_per_fu=0.00 dos_at_fermi_per_ev_fu=4.9 e_tot_ev_per_cell=-27.29 pbc="T T T"
Ca 0.0000 0.0000 0.0000
Y 0.0000 2.3870 2.3693
Y 2.3870 0.0000 2.3693
Zn 2.3870 2.3870 0.0000
O 0.0000 0.0000 2.3693

Record 13
5
Lattice="4.8011 0.0000 0.0000 0.0000 4.8011 0.0000 0.0000 0.0000 4.7999" Properties=species:S:1:pos:R:3 comment="Ca2YZnO (PBE, relaxed)" vol_a3_per_atom=22.1 m_tot_mub_per_fu=0.00 dos_at_fermi_per_ev_fu=5.4 e_tot_ev_per_cell=-22.71 pbc="T T T"
Ca 0.0000 2.4005 0.0000
Ca 2.4005 0.0000 0.0000
Y 0.0000 0.0000 2.3999
Zn 2.4005 2.4005 2.3999
O 0.0000 0.0000 0.0000

Record 14
10
Lattice="2.8784 1.6618 5.0453 -2.8784 1.6618 5.0453 0.0000 -3.3237 5.0453" Properties=species:S:1:pos:R:3 comment="CaY2ZrO6 (PBE, relaxed)" vol_a3_per_atom=14.5 m_tot_mub_per_fu=0.00 dos_at_fermi_per_ev_fu=0.0 e_tot_ev_per_cell=-86.89 pbc="T T T"
Ca 0.0000 0.0000 0.0000
Y 0.0000 0.0000 3.3121
Y 0.0000 0.0000 10.9056
Zr 0.0000 0.0000 7.7009
O -0.7871 -1.7136 6.7781
O -1.6101 0.0442 9.2037
O -1.0905 1.5384 6.7781
O 0.7668 -1.4165 9.2037
O 1.8776 0.1752 6.7781
O 0.8434 1.3723 9.2037

Record 15
28
Lattice="9.8345 0.0000 0.0000 0.0000 3.3572 0.0000 0.0000 0.0000 11.7811" Properties=species:S:1:pos:R:3 comment="CaYb2O4 (PBE, relaxed)" vol_a3_per_atom=13.9 m_tot_mub_per_fu=2.03 dos_at_fermi_per_ev_fu=8.9 e_tot_ev_per_cell=-177.69 pbc="T T T"
Ca 2.4012 0.8393 1.7703
Ca 2.5160 2.5179 7.6609
Ca 7.3184 0.8393 4.1203
Ca 7.4333 2.5179 10.0108
Yb 0.7587 0.8393 10.4891
Yb 0.7740 0.8393 4.5665
Yb 4.1432 2.5179 10.4571
Yb 4.1586 2.5179 4.5985
Yb 5.6759 0.8393 7.1826
Yb 5.6913 0.8393 1.3241
Yb 9.0604 2.5179 7.2147
Yb 9.0758 2.5179 1.2921
O 0.0093 2.5179 9.2884
O 0.8029 0.8393 6.8577
O 1.3084 2.5179 0.2474
O 2.1256 2.5179 3.6938
O 2.7917 0.8393 9.5844
O 3.6088 0.8393 6.1380
O 4.1143 2.5179 0.9671
O 4.9079 0.8393 3.3978
O 4.9266 2.5179 8.3833
O 5.7201 0.8393 10.8141
O 6.2257 2.5179 5.6432
O 7.0428 2.5179 2.1967
O 7.7089 0.8393 8.0873
O 8.5260 0.8393 11.5337
O 9.0316 2.5179 4.9235
O 9.8251 0.8393 2.4927

Record 16
4
Lattice="3.5601 0.0000 0.0000 -1.7800 3.0831 0.0000 0.0000 0.0000 5.5128" Properties=species:S:1:pos:R:3 comment="CaZnO2 (PBE, relaxed)" vol_a3_per_atom=15.1 m_tot_mub_per_fu=0.00 dos_at_fermi_per_ev_fu=0.0 e_tot_ev_per_cell=-21.42 pbc="T T T"
Ca 0.0000 0.0000 0.0000
Zn 0.0000 2.0554 2.6753
O 0.0000 0.0000 3.2034
O 0.0000 2.0554 0.7114

Record 17
10
Lattice="-3.7324 3.7324 2.4126 3.7324 -3.7324 2.4126 3.7324 3.7324 -2.4126" Properties=species:S:1:pos:R:3 comment="Ca4ZnO5 (PBE, relaxed)" vol_a3_per_atom=13.4 m_tot_mub_per_fu=0.00 dos_at_fermi_per_ev_fu=0.0 e_tot_ev_per_cell=-60.03 pbc="T T T"
Ca 2.2149 0.7589 0.0000
Ca 2.9736 -1.5175 2.4126
Ca 0.7589 5.2500 0.0000
Ca 1.5175 2.9736 2.4126
Zn 0.0000 0.0000 2.5756
O 4.4418 1.5606 -0.0177
O 1.5606 3.0231 -0.0177
O 2.1719 0.7093 2.3949
O -0.7093 2.1719 2.3949
O 0.0000 0.0000 4.6596

Record 18
8
Lattice="3.3688 0.0000 0.0000 0.0000 3.7919 4.1040 0.0000 -3.7919 4.1040" Properties=species:S:1:pos:R:3 comment="CaZn3O4 (PBE, relaxed)" vol_a3_per_atom=13.1 m_tot_mub_per_fu=0.00 e_tot_ev_per_cell=-39.51 pbc="T T T"
Ca 0.0000 0.0000 0.0000
Zn 0.0000 0.0000 3.2401
Zn 1.6844 -1.5192 5.5502
Zn 1.6844 1.5192 5.5502
O 0.0000 -1.5544 4.4952
O 0.0000 1.5544 4.4952
O 1.6844 0.0000 2.0106
O 1.6844 0.0000 6.7551

Record 19
5
Lattice="4.2290 0.0000 0.0000 0.0000 4.2290 0.0000 0.0000 0.0000 4.2290" Properties=species:S:1:pos:R:3 comment="CaZnO3 (PBE, relaxed)" vol_a3_per_atom=15.1 m_tot_mub_per_fu=2.06 dos_at_fermi_per_ev_fu=3.4 e_tot_ev_per_cell=-19.84 pbc="T T T"
Ca 0.0000 0.0000 0.0000
Zn 2.1145 2.1145 2.1145
O 0.0000 0.0000 2.1145
O 0.0000 2.1145 0.0000
O 2.1145 0.0000 0.0000

Record 20
7
Lattice="-2.3144 2.3144 8.6923 2.3144 -2.3144 8.6923 2.3144 2.3144 -8.6923" Properties=species:S:1:pos:R:3 comment="Ca4Zn2O (PBE, relaxed)" vol_a3_per_atom=26.6 m_tot_mub_per_fu=0.00 dos_at_fermi_per_ev_fu=3.9 e_tot_ev_per_cell=-20.74 pbc="T T T"
Ca 2.3144 0.0000 0.0000
Ca 0.0000 0.0000 3.2365
Ca 0.0000 2.3144 0.0000
Ca 0.0000 0.0000 14.1481
Zn 0.0000 0.0000 6.2841
Zn 0.0000 0.0000 11.1005
O 0.0000 0.0000 8.6923

Record 21
8
Lattice="-2.4791 2.4791 4.8474 2.4791 -2.4791 4.8474 2.4791 2.4791 -4.8474" Properties=species:S:1:pos:R:3 comment="CaZnO2 (PBE, relaxed)" vol_a3_per_atom=14.9 m_tot_mub_per_fu=0.00 dos_at_fermi_per_ev_fu=0.0 e_tot_ev_per_cell=-43.18 pbc="T T T"
Ca 0.0000 0.0000 0.0000
Ca 0.0000 2.4791 2.4237
Zn 2.4791 0.0000 2.4237
Zn 0.0000 0.0000 4.8474
O 1.2395 -1.0424 3.6355
O 1.4367 1.2395 1.2118
O 1.2395 3.5215 -1.2118
O 1.0424 1.2395 6.0592

Record 22
12
Lattice="5.6786 -3.2758 0.0000 5.6786 3.2758 0.0000 0.0000 0.0000 4.8931" Properties=species:S:1:pos:R:3 comment="Ca2ZnO3 (PBE, relaxed)" vol_a3_per_atom=15.2 e_above_lowest_polymorph_mev_per_atom=0 m_tot_mub_per_fu=0.00 dos_at_fermi_per_ev_fu=0.0 pbc="T T T"
Ca 3.8585 2.1166 2.4465
Ca 7.4986 2.1166 2.4465
Ca 3.8585 -2.1166 0.0000
Ca 7.4986 -2.1166 0.0000
Zn 5.6786 1.0638 0.1416
Zn 5.6786 -1.0638 2.5881
O 3.9226 2.1257 4.8389
O 7.4345 2.1257 4.8389
O 5.6786 0.8727 2.1979
O 5.6786 -0.8727 4.6444
O 3.9226 -2.1257 2.3923
O 7.4345 -2.1257 2.3923

Record 23
5
Lattice="4.5134 0.0000 0.0000 0.0000 4.5134 0.0000 0.0000 0.0000 4.5134" Properties=species:S:1:pos:R:3 comment="CaZn3O (PBE, relaxed)" vol_a3_per_atom=18.4 e_above_lowest_polymorph_mev_per_atom=0 m_tot_mub_per_fu=0.00 dos_at_fermi_per_ev_fu=4.8 pbc="T T T"
Ca 0.0000 0.0000 0.0000
Zn 0.0000 2.2567 2.2567
Zn 2.2567 0.0000 2.2567
Zn 2.2567 2.2567 0.0000
O 2.2567 2.2567 2.2567

Record 24
14
Lattice="5.9212 0.0000 0.0000 0.0000 5.9212 0.0000 0.0000 0.0000 5.9212" Properties=species:S:1:pos:R:3 comment="CaZn3O3 (PBE, relaxed)" vol_a3_per_atom=14.8 m_tot_mub_per_fu=0.00 dos_at_fermi_per_ev_fu=2.9 e_tot_ev_per_cell=-55.63 pbc="T T T"
Ca 0.0000 0.0000 0.0000
Ca 2.9606 2.9606 2.9606
Zn 0.0000 1.4803 2.9606
Zn 0.0000 4.4409 2.9606
Zn 1.4803 2.9606 0.0000
Zn 2.9606 0.0000 1.4803
Zn 2.9606 0.0000 4.4409
Zn 4.4409 2.9606 0.0000
O 0.0000 2.9606 1.4803
O 0.0000 2.9606 4.4409
O 1.4803 0.0000 2.9606
O 2.9606 1.4803 0.0000
O 2.9606 4.4409 0.0000
O 4.4409 0.0000 2.9606

Record 25
8
Lattice="6.1610 -1.7096 0.0000 6.1610 1.7096 0.0000 -2.7545 0.0000 5.1863" Properties=species:S:1:pos:R:3 comment="CaZn3O4 (PBE, relaxed)" vol_a3_per_atom=13.7 m_tot_mub_per_fu=0.00 e_tot_ev_per_cell=-39.59 pbc="T T T"
Ca 0.0000 0.0000 0.0000
Zn 0.5058 0.0000 4.6366
Zn 4.8290 0.0000 2.5352
Zn 8.1563 0.0000 2.1490
O -1.2159 0.0000 3.5927
O 2.9968 0.0000 1.5346
O 6.3659 0.0000 1.3077
O 7.6147 0.0000 4.1106